No. 1
Density functional theory data (PBE-GGA) for K4SbO4 after structural relaxation.

Lattice parameters (Å, degrees): 9.114 7.138 7.138 90.00 90.00 90.00
Element x y z (fractional)
1 K 0.181 0.763 0.500
2 K 0.819 0.500 0.237
3 K 0.319 0.737 0.000
4 K 0.819 0.500 0.763
5 K 0.681 0.000 0.737
6 K 0.181 0.237 0.500
7 K 0.319 0.263 0.000
8 K 0.681 0.000 0.263
9 O 0.862 0.789 0.000
10 O 0.362 0.500 0.289
11 O 0.362 0.500 0.711
12 O 0.138 0.000 0.789
13 O 0.638 0.711 0.500
14 O 0.862 0.211 0.000
15 O 0.638 0.289 0.500
16 O 0.138 0.000 0.211
17 Sb 0.000 0.000 0.000
18 Sb 0.500 0.500 0.500

Computed properties:
crystal system = tetragonal
raw total energy = -81.3 eV/cell
ΔE_f (raw) = -12.293 eV per formula unit

=====

No. 2
Density functional theory data (PBE-GGA) for PtCS2Cl after structural relaxation.

Lattice parameters (Å, degrees): 4.337 4.337 3.846 90.00 90.00 90.00
Element x y z (fractional)
1 C 0.000 0.000 0.000
2 S 0.500 0.000 0.000
3 S 0.000 0.500 0.000
4 Pt 0.500 0.500 0.500
5 Cl 0.000 0.000 0.500

Computed properties:
ΔE to the lowest computed polymorph = 0.284 eV/atom
crystal system = tetragonal
raw total energy = -18.1 eV/cell
ΔE_f (raw) = 7.300 eV per formula unit

=====

No. 3
Density functional theory data (PBE-GGA) for SnOsS3 after structural relaxation.

Lattice parameters (Å, degrees): 4.697 4.697 4.697 90.00 90.00 90.00
Last column: magnetic moment on the atom in μB.
Element x y z (fractional)
1 Sn 0.500 0.500 0.500  0.06
2 S 0.000 0.500 0.000  0.10
3 S 0.500 0.000 0.000  0.10
4 S 0.000 0.000 0.500  0.10
5 Os 0.000 0.000 0.000  0.95

Computed properties:
ΔE to the lowest computed polymorph = 0.000 eV/atom
crystal system = cubic
raw total energy = -26.1 eV/cell
ΔE_f (raw) = 1.469 eV per formula unit

=====

In μB per cell, the total moment values for the records above are, in order, 0.00, 0.00, 1.65.
In states/eV/f.u., the DOS(E_F) values for the records above are, in order, 2.226, 3.413, 5.186.